one) The following is a PBE calculation of crystalline YPaNiRu at its relaxed geometry, from Alexandria.

Lattice parameters (Å, degrees): 6.8125 6.8125 6.8125 90.00 90.00 90.00
Atoms (fractional coordinates):
Y 0.0000 0.0000 0.0000
Y 0.0000 0.5000 0.5000
Y 0.5000 0.0000 0.5000
Y 0.5000 0.5000 0.0000
Pa 0.0000 0.0000 0.5000
Pa 0.0000 0.5000 0.0000
Pa 0.5000 0.0000 0.0000
Pa 0.5000 0.5000 0.5000
Ni 0.2500 0.2500 0.2500
Ni 0.2500 0.7500 0.7500
Ni 0.7500 0.2500 0.7500
Ni 0.7500 0.7500 0.2500
Ru 0.2500 0.2500 0.7500
Ru 0.2500 0.7500 0.2500
Ru 0.7500 0.2500 0.2500
Ru 0.7500 0.7500 0.7500

Output
- crystal system = cubic
- M_tot (Bohr magnetons per cell) = 0.00


two) The following is a PBE calculation of crystalline YPaNiRu at its relaxed geometry, from Alexandria.

Lattice parameters (Å, degrees): 3.9623 3.6788 11.3366 90.00 90.00 90.00
Atoms (fractional coordinates):
Y 0.0000 0.0000 0.0000
Y 0.0000 0.5000 0.5000
Pa 0.5000 0.0000 0.7316
Pa 0.5000 0.5000 0.2316
Ni 0.5000 0.0000 0.4304
Ni 0.5000 0.5000 0.9304
Ru 0.0000 0.0000 0.2608
Ru 0.0000 0.5000 0.7608

Output
- crystal system = orthorhombic
- M_tot (Bohr magnetons per cell) = 0.00


Energies relative to the most stable structure, in meV per atom: one) 209; two) 0.